First-principles (PBE) data for a relaxed structure of HgH2F, as listed in the Alexandria database.

a b c (Å): 3.8602 3.8602 3.8602
angles (deg): 60.00 60.00 60.00
Closest atoms and distances in Å follow each position.
Positions (direct):
F1 0.0000 0.0000 0.0000  8 H 2.36
Hg1 0.5000 0.5000 0.5000  8 H 2.36
H1 0.7500 0.7500 0.7500  4 Hg 2.36, 4 F 2.36
H2 0.2500 0.2500 0.2500  4 Hg 2.36, 4 F 2.36

Computed properties:
The crystal system is cubic. The excess energy over the best structure of this formula in the dataset is 2.04 eV per formula unit.


First-principles (PBE) data for a relaxed structure of HgH2F8, as listed in the Alexandria database.

a b c (Å): 5.7198 4.1613 9.3226
angles (deg): 96.89 90.00 133.41
Closest atoms and distances in Å follow each position.
Positions (direct):
F1 0.9144 0.3105 0.1289  1 Hg 1.96
F2 0.3962 0.3105 0.1289  1 Hg 1.96
F3 0.9670 0.9339 0.3380  1 H 1.27
F4 0.6038 0.6895 0.8711  1 Hg 1.96
F5 0.2643 0.5286 0.5342  1 H 1.07
F6 0.7357 0.4714 0.4658  1 H 1.07
F7 0.0856 0.6895 0.8711  1 Hg 1.96
F8 0.0330 0.0661 0.6620  1 H 1.27
Hg1 0.0000 0.0000 0.0000  4 F 1.96
H1 0.8647 0.7294 0.5600  1 F 1.07
H2 0.1353 0.2706 0.4400  1 F 1.07

Computed properties:
The calculation puts the total DFT energy (no corrections) at -31.322 eV for the cell shown. The crystal system is monoclinic.


First-principles (PBE) data for a relaxed structure of HgH2F4, as listed in the Alexandria database.

a b c (Å): 4.3091 4.3091 9.2779
angles (deg): 90.00 90.00 116.02
Closest atoms and distances in Å follow each position.
Positions (direct):
F1 0.3144 0.1440 0.0000  1 H 0.97
F2 0.5000 0.0000 0.3433  2 H 2.11, 2 Hg 2.32
F3 0.0000 0.5000 0.1567  2 H 2.11, 2 Hg 2.32
F4 0.8560 0.6856 0.5000  1 H 0.97
F5 0.1440 0.3144 0.5000  1 H 0.97
F6 0.5000 0.0000 0.6567  2 H 2.11, 2 Hg 2.32
F7 0.0000 0.5000 0.8433  2 H 2.11, 2 Hg 2.32
F8 0.6856 0.8560 0.0000  1 H 0.97
H1 0.8947 0.1959 0.5000  1 F 0.97
H2 0.8041 0.1053 0.0000  1 F 0.97
H3 0.1959 0.8947 0.0000  1 F 0.97
H4 0.1053 0.8041 0.5000  1 F 0.97
Hg1 0.5000 0.5000 0.7500  4 F 2.32
Hg2 0.5000 0.5000 0.2500  4 F 2.32

Computed properties:
The crystal system is orthorhombic. The excess energy over the best structure of this formula in the dataset is 0.93 eV per formula unit.


First-principles (PBE) data for a relaxed structure of HgH2F3, as listed in the Alexandria database.

a b c (Å): 3.6903 5.6297 7.6263
angles (deg): 83.25 90.00 90.00
Closest atoms and distances in Å follow each position.
Positions (direct):
F1 0.7500 0.5934 0.8705  1 H 1.28
F2 0.7500 0.7090 0.3108  1 H 1.01
F3 0.2500 0.1714 0.4000  1 H 1.05
F4 0.2500 0.2910 0.6892  1 H 1.01
F5 0.2500 0.4066 0.1295  1 H 1.28
F6 0.7500 0.8286 0.6000  1 H 1.05
H1 0.2500 0.2398 0.5661  1 F 1.01
H2 0.7500 0.7061 0.7153  1 F 1.05
H3 0.2500 0.2939 0.2847  1 F 1.05
H4 0.7500 0.7602 0.4339  1 F 1.01
Hg1 0.7500 0.1830 0.9463  1 F 2.31
Hg2 0.2500 0.8170 0.0537  1 F 2.31

Computed properties:
The calculation puts the total DFT energy (no corrections) at -42.527 eV for the cell shown. The crystal system is monoclinic.


First-principles (PBE) data for a relaxed structure of KHgH2F8, as listed in the Alexandria database.

a b c (Å): 5.0915 4.7923 7.9419
angles (deg): 81.62 93.97 70.50
Closest atoms and distances in Å follow each position.
Positions (direct):
F1 0.2366 0.7824 0.8393  1 Hg 1.98
F2 0.7634 0.2176 0.1607  1 Hg 1.98
F3 0.7457 0.2906 0.7602  1 H 1.46
F4 0.2452 0.2391 0.0179  1 Hg 1.97
F5 0.2543 0.7094 0.2398  1 H 1.46
F6 0.6979 0.6482 0.4011  1 H 0.99
F7 0.3021 0.3518 0.5989  1 H 0.99
F8 0.7548 0.7609 0.9821  1 Hg 1.97
Hg1 0.0000 0.0000 0.0000  4 F 1.97-1.98
H1 0.4685 0.3184 0.6814  1 F 0.99
H2 0.5315 0.6816 0.3186  1 F 0.99
K1 0.0000 0.0000 0.5000  8 F 2.77-2.93

Computed properties:
The calculation puts the total DFT energy (no corrections) at -39.383 eV for the cell shown. The crystal system is triclinic.


First-principles (PBE) data for a relaxed structure of K2HgH2F6, as listed in the Alexandria database.

a b c (Å): 5.3940 5.3940 6.8963
angles (deg): 66.98 66.98 60.00
Closest atoms and distances in Å follow each position.
Positions (direct):
Hg1 0.0000 0.0000 0.0000  6 F 2.34
F1 0.7289 0.7289 0.2552  1 H 1.38
F2 0.7130 0.2711 0.7448  1 H 1.38
F3 0.2870 0.7289 0.2552  1 H 1.38
F4 0.7289 0.2870 0.2552  1 H 1.38
F5 0.2711 0.2711 0.7448  1 H 1.38
F6 0.2711 0.7130 0.7448  1 H 1.38
H1 0.4164 0.4164 0.7509  3 F 1.38
H2 0.5836 0.5836 0.2491  3 F 1.38
K1 0.7879 0.7879 0.6362  9 F 2.78-2.92
K2 0.2121 0.2121 0.3638  9 F 2.78-2.92

Computed properties:
The calculation puts the total DFT energy (no corrections) at -40.815 eV for the cell shown. The crystal system is trigonal.


First-principles (PBE) data for a relaxed structure of HgHN2F, as listed in the Alexandria database.

a b c (Å): 3.2729 3.2729 4.7867
angles (deg): 90.00 90.00 90.00
Closest atoms and distances in Å follow each position.
Positions (direct):
Hg1 0.5000 0.5000 0.5000  4 F 2.31
F1 0.0000 0.0000 0.5000  4 Hg 2.31, 2 H 2.39
N1 0.5000 0.0000 0.0000  2 H 1.64
N2 0.0000 0.5000 0.0000  2 H 1.64
H1 0.0000 0.0000 0.0000  4 N 1.64

Computed properties:
The crystal system is tetragonal. The excess energy over the best structure of this formula in the dataset is 0.00 eV per formula unit.


First-principles (PBE) data for a relaxed structure of HgHN2F, as listed in the Alexandria database.

a b c (Å): 4.4695 4.4695 4.6932
angles (deg): 90.00 90.00 90.00
Closest atoms and distances in Å follow each position.
Positions (direct):
N1 0.5000 0.0000 0.0000  2 Hg 2.23
N2 0.0000 0.5000 0.0000  2 Hg 2.23
Hg1 0.0000 0.0000 0.0000  4 N 2.23, 2 F 2.35
F1 0.0000 0.0000 0.5000  2 Hg 2.35
H1 0.5000 0.5000 0.5000  4 F 3.16, 8 N 3.24

Computed properties:
The crystal system is tetragonal. The excess energy over the best structure of this formula in the dataset is 2.11 eV per formula unit.


Total magnetic moment across the listed records, respectively: 1.002; 2.124; 0.000; 0.000; 1.046; 0.000; 1.403; 5.363 μB/f.u..